[1]
A plane-wave DFT calculation with GGA-PBE was carried out for a relaxed structure of LaMgAl.

Cell lengths 6.1462, 6.1462, 7.7734 Å; angles 128.20, 128.20, 47.26 degrees
Sites, in units of the cell vectors:
La: 0.0349 0.0349 0.2844
La: 0.9651 0.9651 0.7156
Mg: 0.3269 0.3269 0.2600
Mg: 0.6731 0.6731 0.7400
Al: 0.3446 0.3446 0.8785
Al: 0.6554 0.6554 0.1215

## Properties
* M_tot: 0.000 μB per atom
* calculated density: 4.0 g cm⁻³
* SG: C2/m (12)
* crystal system: monoclinic
* electronic total energy: -22.0 eV per cell
* E_form: -0.251 eV/atom

[2]
A plane-wave DFT calculation with GGA-PBE was carried out for a relaxed structure of La12MgAl3.

Cell lengths 5.0200, 5.0200, 19.9785 Å; angles 90.00, 90.00, 90.00 degrees
Sites, in units of the cell vectors:
La: 0.0000 0.0000 0.0000
La: 0.0000 0.0000 0.2468
La: 0.0000 0.0000 0.5000
La: 0.0000 0.0000 0.7532
La: 0.0000 0.5000 0.1236
La: 0.0000 0.5000 0.3688
La: 0.0000 0.5000 0.6312
La: 0.0000 0.5000 0.8764
La: 0.5000 0.0000 0.1236
La: 0.5000 0.0000 0.3688
La: 0.5000 0.0000 0.6312
La: 0.5000 0.0000 0.8764
Mg: 0.5000 0.5000 0.5000
Al: 0.5000 0.5000 0.0000
Al: 0.5000 0.5000 0.2485
Al: 0.5000 0.5000 0.7515

## Properties
* M_tot: 0.000 μB per atom
* calculated density: 5.8 g cm⁻³
* SG: P4/mmm (123)
* crystal system: tetragonal
* electronic total energy: -74.3 eV per cell
* E_form: -0.145 eV/atom

[3]
A plane-wave DFT calculation with GGA-PBE was carried out for a relaxed structure of LaMg9Al3.

Cell lengths 7.6531, 7.6531, 7.7062 Å; angles 97.96, 97.96, 136.12 degrees
Sites, in units of the cell vectors:
La: 0.0000 0.0000 0.0000
Mg: 0.0000 0.0000 0.5000
Mg: 0.0012 0.3552 0.3496
Mg: 0.2874 0.5041 0.7870
Mg: 0.3552 0.0012 0.3496
Mg: 0.4959 0.7126 0.2130
Mg: 0.5041 0.2874 0.7870
Mg: 0.6448 0.9988 0.6504
Mg: 0.7126 0.4959 0.2130
Mg: 0.9988 0.6448 0.6504
Al: 0.0000 0.5000 0.0000
Al: 0.5000 0.0000 0.0000
Al: 0.5000 0.5000 0.5000

## Properties
* M_tot: 0.000 μB per atom
* calculated density: 2.5 g cm⁻³
* SG: C2/m (12)
* crystal system: monoclinic
* electronic total energy: -31.8 eV per cell
* E_form: -0.100 eV/atom